(1)
Compound: Te2Au
Source: Alexandria via LeMat-Bulk
Functional: PBE-GGA
Structure: optimized geometry

Results
Total DFT energy (no corrections) = -3.191 eV/atom
Energy relative to the elements, uncorrected = -4 meV per atom
Symmetry = No. 58
Crystal system = orthorhombic

Cell lengths 4.193, 5.644, 8.162 Å; angles 90.00, 90.00, 90.00 degrees
Element x y z (fractional)
Te1 0.000 0.793 0.406
Te2 0.500 0.707 0.906
Te3 0.000 0.207 0.594
Te4 0.500 0.293 0.094
Au1 0.000 0.000 0.000
Au2 0.500 0.500 0.500

(2)
Compound: RbUSb2
Source: Alexandria via LeMat-Bulk
Functional: PBE-GGA
Structure: optimized geometry

Results
Total DFT energy (no corrections) = -5.355 eV/atom
Energy relative to the elements, uncorrected = -230 meV per atom
Energy above the most stable polymorph in this dataset = 0.000 eV/atom
Symmetry = No. 123
Crystal system = tetragonal

Cell lengths 3.599, 3.599, 9.642 Å; angles 90.00, 90.00, 90.00 degrees
Element x y z (fractional)
U1 0.500 0.500 0.000
Sb1 0.000 0.000 0.787
Sb2 0.000 0.000 0.213
Rb1 0.500 0.500 0.500

(3)
Compound: Ca2YTi
Source: Alexandria via LeMat-Bulk
Functional: PBE-GGA
Structure: optimized geometry

Results
Total DFT energy (no corrections) = -4.093 eV/atom
Energy above the most stable polymorph in this dataset = 0.000 eV/atom
Symmetry = No. 225
Crystal system = cubic

Cell lengths 5.610, 5.610, 5.610 Å; angles 60.00, 60.00, 60.00 degrees
Element x y z (fractional)
Ca1 0.750 0.750 0.750
Ca2 0.250 0.250 0.250
Ti1 0.000 0.000 0.000
Y1 0.500 0.500 0.500

(4)
Compound: NdTh2Rh9
Source: Alexandria via LeMat-Bulk
Functional: PBE-GGA
Structure: optimized geometry

Results
Total DFT energy (no corrections) = -7.746 eV/atom
Symmetry = No. 166
Crystal system = trigonal

Cell lengths 5.321, 5.321, 9.421 Å; angles 73.60, 73.60, 60.00 degrees
Element x y z (fractional)
Rh1 0.583 0.583 0.753
Rh2 0.417 0.417 0.247
Rh3 0.417 0.919 0.247
Rh4 0.333 0.333 0.001
Rh5 0.500 0.500 0.500
Rh6 0.667 0.667 0.999
Rh7 0.919 0.417 0.247
Rh8 0.583 0.081 0.753
Rh9 0.081 0.583 0.753
Th1 0.863 0.863 0.412
Th2 0.137 0.137 0.588
Nd1 0.000 0.000 0.000

(5)
Compound: TbHo4Au5
Source: Alexandria via LeMat-Bulk
Functional: PBE-GGA
Structure: optimized geometry

Results
Total DFT energy (no corrections) = -4.803 eV/atom
Symmetry = No. 123
Crystal system = tetragonal

Cell lengths 3.561, 3.561, 18.224 Å; angles 90.00, 90.00, 90.00 degrees
Element x y z (fractional)
Ho1 0.000 0.000 0.799
Ho2 0.000 0.000 0.400
Ho3 0.000 0.000 0.600
Ho4 0.000 0.000 0.201
Au1 0.500 0.500 0.898
Au2 0.500 0.500 0.301
Au3 0.500 0.500 0.500
Au4 0.500 0.500 0.102
Au5 0.500 0.500 0.699
Tb1 0.000 0.000 0.000

(6)
Compound: Sm6RhS5
Source: Alexandria via LeMat-Bulk
Functional: PBE-GGA
Structure: optimized geometry

Results
Total DFT energy (no corrections) = -6.486 eV/atom
Energy relative to the elements, uncorrected = -1794 meV per atom
Symmetry = No. 12
Crystal system = monoclinic

Cell lengths 6.997, 6.997, 6.980 Å; angles 99.65, 99.65, 119.85 degrees
Element x y z (fractional)
Rh1 0.000 0.000 0.000
S1 0.830 0.170 0.500
S2 0.666 0.334 0.000
S3 0.500 0.500 0.500
S4 0.170 0.830 0.500
S5 0.334 0.666 0.000
Sm1 0.751 0.751 0.250
Sm2 0.587 0.918 0.753
Sm3 0.918 0.587 0.753
Sm4 0.249 0.249 0.750
Sm5 0.413 0.082 0.247
Sm6 0.082 0.413 0.247

(7)
Compound: ZnGaGePb
Source: Alexandria via LeMat-Bulk
Functional: PBE-GGA
Structure: optimized geometry

Results
Total DFT energy (no corrections) = -2.953 eV/atom
Symmetry = No. 216
Crystal system = cubic

Cell lengths 4.992, 4.992, 4.992 Å; angles 60.00, 60.00, 60.00 degrees
Element x y z (fractional)
Ga1 0.750 0.750 0.750
Zn1 0.500 0.500 0.500
Ge1 0.000 0.000 0.000
Pb1 0.250 0.250 0.250

(8)
Compound: Y5Hg
Source: Alexandria via LeMat-Bulk
Functional: PBE-GGA
Structure: optimized geometry

Results
Total DFT energy (no corrections) = -5.588 eV/atom
Energy above the most stable polymorph in this dataset = 0.000 eV/atom
Symmetry = No. 123
Crystal system = tetragonal

Cell lengths 14.101, 3.593, 3.593 Å; angles 90.00, 90.00, 90.00 degrees
Element x y z (fractional)
Y1 0.975 0.000 0.000
Y2 0.511 0.500 0.500
Y3 0.155 0.500 0.500
Y4 0.333 0.000 0.000
Y5 0.692 0.000 0.000
Hg1 0.833 0.500 0.500

(9)
Compound: Sr2SbHPd
Source: Alexandria via LeMat-Bulk
Functional: PBE-GGA
Structure: optimized geometry

Results
Total DFT energy (no corrections) = -3.918 eV/atom
Symmetry = No. 123
Crystal system = tetragonal

Cell lengths 5.558, 5.558, 3.856 Å; angles 90.00, 90.00, 90.00 degrees
Element x y z (fractional)
Pd1 0.000 0.000 0.500
Sb1 0.500 0.500 0.500
Sr1 0.000 0.500 0.000
Sr2 0.500 0.000 0.000
H1 0.000 0.000 0.000

(10)
Compound: Ti3CdCo
Source: Alexandria via LeMat-Bulk
Functional: PBE-GGA
Structure: optimized geometry

Results
Total DFT energy (no corrections) = -6.145 eV/atom
Energy above the most stable polymorph in this dataset = 0.000 eV/atom
Symmetry = No. 221
Crystal system = cubic

Cell lengths 4.532, 4.532, 4.532 Å; angles 90.00, 90.00, 90.00 degrees
Element x y z (fractional)
Ti1 0.500 0.000 0.000
Ti2 0.000 0.000 0.500
Ti3 0.000 0.500 0.000
Cd1 0.500 0.500 0.500
Co1 0.000 0.000 0.000

(11)
Compound: LaNd2Th4
Source: Alexandria via LeMat-Bulk
Functional: PBE-GGA
Structure: optimized geometry

Results
Total DFT energy (no corrections) = -6.230 eV/atom
Symmetry = No. 65
Crystal system = orthorhombic

Cell lengths 3.599, 3.593, 18.465 Å; angles 90.00, 95.59, 90.00 degrees
Element x y z (fractional)
Nd1 0.794 0.500 0.588
Nd2 0.206 0.500 0.412
Th1 0.928 0.500 0.855
Th2 0.638 0.000 0.276
Th3 0.362 0.000 0.724
Th4 0.072 0.500 0.145
La1 0.500 0.000 0.000

(12)
Compound: MnTeI
Source: Alexandria via LeMat-Bulk
Functional: PBE-GGA
Structure: optimized geometry

Results
Total DFT energy (no corrections) = -4.840 eV/atom
Energy relative to the elements, uncorrected = -219 meV per atom
Symmetry = No. 156
Crystal system = trigonal

Cell lengths 7.171, 3.924, 3.924 Å; angles 120.00, 90.00, 90.00 degrees
Element x y z (fractional)
I1 0.236 0.333 0.667
Mn1 0.990 0.000 0.000
Te1 0.773 0.667 0.333